Compound: LiTcP2O
Source: Alexandria
Functional: PBE
Structure: optimized geometry

POSCAR file:
```
LiTcP2O
1.0
4.787 0.000 0.000
0.000 4.787 0.000
0.000 0.000 3.717
Li Tc P O
1 1 2 1
direct
0.000 0.000 0.000
0.500 0.500 0.500
0.000 0.500 0.500
0.500 0.000 0.500
0.500 0.500 0.000
```

Computed properties:
Energy above the lowest structure with this stoichiometry   0 meV per atom
Symmetry   P4/mmm, No. 123
ΔE_f (raw)   -0.2369 eV per atom
N(E_F)   1.8 states/eV per cell
Spin magnetization   0.000 μB per formula unit